{
  "formula": "TcOsAu2",
  "functional": "GGA-PBE",
  "state": "relaxed",
  "n_ef_per_ev_atom": 0.8057,
  "space_group": "Cm",
  "de_polymorph_mev_per_atom": 256,
  "formation_energy_ev_per_atom": 0.43,
  "dft_energy_ev_per_atom": -6.61,
  "cell": [[-2.782, 2.806, -2.845], [-4.375, 0.658, -2.032], [-2.063, 2.863, 3.523]],
  "species": ["Tc", "Os", "Au", "Au"],
  "frac_coords": [[0.242, 0.242, 0.280], [0.507, 0.507, 0.471], [0.997, 0.997, 0.993], [0.754, 0.754, 0.756]]
}